Entry A
{"formula": "LiOs2Pt", "functional": "PBE", "state": "optimized geometry", "cell": [[-1.821, 1.821, 9.238], [1.821, -1.821, 9.238], [1.821, 1.821, -9.238]], "species": ["Li", "Li", "Os", "Os", "Os", "Os", "Pt", "Pt"], "fractional_positions": [[0.000, 0.000, 0.000], [0.750, 0.250, 0.500], [0.091, 0.625, 0.966], [0.375, 0.341, 0.466], [0.659, 0.125, 0.034], [0.875, 0.909, 0.534], [0.250, 0.750, 0.500], [0.500, 0.500, 0.000]], "vol_a3_per_cell": 122.5, "crystal_system": "tetragonal"}

Entry B
{"formula": "LiOs2Pt", "functional": "PBE", "state": "optimized geometry", "cell": [[1.366, -2.295, 0.000], [1.366, 2.295, 0.000], [0.000, 0.000, 9.402]], "species": ["Li", "Os", "Os", "Pt"], "fractional_positions": [[0.000, 0.000, 0.000], [0.500, 0.500, 0.245], [0.500, 0.500, 0.755], [0.000, 0.000, 0.500]], "vol_a3_per_cell": 59.0, "crystal_system": "orthorhombic"}

Here is how they stack up, most stable first: entry B, entry A.

Entry A
{"formula": "LiOs2Pt", "functional": "PBE", "state": "optimized geometry", "cell": [[-1.345, 2.111, 5.369], [1.345, -2.111, 5.369], [1.345, 2.111, -5.369]], "species": ["Li", "Os", "Os", "Pt"], "fractional_positions": [[0.000, 0.000, 0.000], [0.286, 0.786, 0.500], [0.714, 0.214, 0.500], [0.500, 0.500, 0.000]], "vol_a3_per_cell": 61.0, "crystal_system": "orthorhombic"}

Entry B
{"formula": "LiOs2Pt", "functional": "PBE", "state": "optimized geometry", "cell": [[2.533, -4.191, 0.000], [2.533, 4.191, 0.000], [0.000, 0.000, 2.684]], "species": ["Li", "Os", "Os", "Pt"], "fractional_positions": [[0.000, 0.000, 0.000], [0.000, 0.500, 0.500], [0.500, 0.000, 0.500], [0.500, 0.500, 0.000]], "vol_a3_per_cell": 57.0, "crystal_system": "orthorhombic"}

Here is how they stack up, most stable first: entry A, entry B.

Entry A
{"formula": "LiOs2Pt", "functional": "PBE", "state": "optimized geometry", "cell": [[1.349, 0.779, 9.240], [-1.349, 0.779, 9.240], [0.000, -1.558, 9.240]], "species": ["Li", "Os", "Os", "Pt"], "fractional_positions": [[0.000, 0.000, 0.000], [0.250, 0.250, 0.250], [0.750, 0.750, 0.750], [0.500, 0.500, 0.500]], "vol_a3_per_cell": 58.3, "crystal_system": "trigonal"}

Entry B
{"formula": "LiOs2Pt", "functional": "PBE", "state": "optimized geometry", "cell": [[4.620, 0.000, 0.000], [0.000, 4.620, 0.000], [0.000, 0.000, 2.689]], "species": ["Li", "Os", "Os", "Pt"], "fractional_positions": [[0.000, 0.000, 0.000], [0.000, 0.500, 0.500], [0.500, 0.000, 0.500], [0.500, 0.500, 0.000]], "vol_a3_per_cell": 57.4, "crystal_system": "tetragonal"}

Entry C
{"formula": "LiOs2Pt", "functional": "PBE", "state": "optimized geometry", "cell": [[2.739, 0.000, 0.000], [0.000, 3.777, 0.000], [0.000, 0.000, 5.448]], "species": ["Li", "Os", "Os", "Pt"], "fractional_positions": [[0.000, 0.000, 0.000], [0.000, 0.000, 0.487], [0.500, 0.500, 0.279], [0.500, 0.500, 0.794]], "vol_a3_per_cell": 56.4, "crystal_system": "orthorhombic"}

Entry D
{"formula": "LiOs2Pt", "functional": "PBE", "state": "optimized geometry", "cell": [[-1.850, 1.850, 4.062], [1.850, -1.850, 4.062], [1.850, 1.850, -4.062]], "species": ["Li", "Os", "Os", "Pt"], "fractional_positions": [[0.000, 0.000, 0.000], [0.250, 0.750, 0.500], [0.750, 0.250, 0.500], [0.500, 0.500, 0.000]], "vol_a3_per_cell": 55.6, "crystal_system": "tetragonal"}

Here is how they stack up, most stable first: entry C, entry D, entry A, entry B.

Entry A
{"formula": "LiOs2Pt", "functional": "PBE", "state": "optimized geometry", "cell": [[4.594, -1.354, 0.000], [4.594, 1.354, 0.000], [-0.607, 0.000, 4.546]], "species": ["Li", "Os", "Os", "Pt"], "fractional_positions": [[0.000, 0.000, 0.000], [0.240, 0.240, 0.756], [0.760, 0.760, 0.244], [0.500, 0.500, 0.500]], "vol_a3_per_cell": 56.6, "crystal_system": "monoclinic"}

Entry B
{"formula": "LiOs2Pt", "functional": "PBE", "state": "optimized geometry", "cell": [[3.646, 0.000, 0.000], [0.000, 3.646, 0.000], [0.000, 0.000, 4.237]], "species": ["Li", "Os", "Os", "Pt"], "fractional_positions": [[0.000, 0.000, 0.000], [0.000, 0.500, 0.500], [0.500, 0.000, 0.500], [0.500, 0.500, 0.000]], "vol_a3_per_cell": 56.3, "crystal_system": "tetragonal"}

Here is how they stack up, most stable first: entry A, entry B.

Entry A
{"formula": "Li2OsPt", "functional": "PBE", "state": "optimized geometry", "cell": [[-1.834, 1.834, 4.231], [1.834, -1.834, 4.231], [1.834, 1.834, -4.231]], "species": ["Li", "Li", "Os", "Pt"], "fractional_positions": [[0.250, 0.750, 0.500], [0.750, 0.250, 0.500], [0.000, 0.000, 0.000], [0.500, 0.500, 0.000]], "vol_a3_per_cell": 56.9, "crystal_system": "tetragonal"}

Entry B
{"formula": "Li2OsPt", "functional": "PBE", "state": "optimized geometry", "cell": [[1.345, 0.777, 8.841], [-1.345, 0.777, 8.841], [0.000, -1.554, 8.841]], "species": ["Li", "Li", "Os", "Pt"], "fractional_positions": [[0.248, 0.248, 0.248], [0.752, 0.752, 0.752], [0.000, 0.000, 0.000], [0.500, 0.500, 0.500]], "vol_a3_per_cell": 55.4, "crystal_system": "trigonal"}

Entry C
{"formula": "Li2OsPt", "functional": "PBE", "state": "optimized geometry", "cell": [[2.594, -4.230, 0.000], [2.594, 4.230, 0.000], [0.000, 0.000, 2.582]], "species": ["Li", "Li", "Os", "Pt"], "fractional_positions": [[0.000, 0.500, 0.000], [0.500, 0.000, 0.000], [0.000, 0.000, 0.500], [0.500, 0.500, 0.500]], "vol_a3_per_cell": 56.7, "crystal_system": "orthorhombic"}

Here is how they stack up, most stable first: entry B, entry C, entry A.

Entry A
{"formula": "Li2OsPt", "functional": "PBE", "state": "optimized geometry", "cell": [[2.597, 0.000, 0.000], [0.000, 2.597, 0.000], [0.000, 0.000, 8.345]], "species": ["Li", "Li", "Os", "Pt"], "fractional_positions": [[0.000, 0.000, 0.238], [0.000, 0.000, 0.762], [0.500, 0.500, 0.500], [0.500, 0.500, 0.000]], "vol_a3_per_cell": 56.3, "crystal_system": "tetragonal"}

Entry B
{"formula": "Li2OsPt", "functional": "PBE", "state": "optimized geometry", "cell": [[2.779, 0.000, 0.000], [0.000, 2.779, 0.000], [0.000, 0.000, 7.211]], "species": ["Li", "Li", "Os", "Pt"], "fractional_positions": [[0.000, 0.000, 0.000], [0.500, 0.500, 0.255], [0.000, 0.000, 0.503], [0.500, 0.500, 0.760]], "vol_a3_per_cell": 55.7, "crystal_system": "tetragonal"}

Entry C
{"formula": "Li2OsPt", "functional": "PBE", "state": "optimized geometry", "cell": [[-3.403, 3.403, 2.490], [3.403, -3.403, 2.490], [3.403, 3.403, -2.490]], "species": ["Li", "Li", "Li", "Li", "Os", "Os", "Pt", "Pt"], "fractional_positions": [[0.117, 0.125, 0.492], [0.375, 0.883, 0.008], [0.633, 0.625, 0.508], [0.875, 0.367, 0.992], [0.250, 0.750, 0.500], [0.500, 0.500, 0.000], [0.000, 0.000, 0.000], [0.750, 0.250, 0.500]], "vol_a3_per_cell": 115.3, "crystal_system": "tetragonal"}

Here is how they stack up, most stable first: entry A, entry B, entry C.

Entry A
{"formula": "Li2OsPt", "functional": "PBE", "state": "optimized geometry", "cell": [[-1.336, 2.325, 4.509], [1.336, -2.325, 4.509], [1.336, 2.325, -4.509]], "species": ["Li", "Li", "Os", "Pt"], "fractional_positions": [[0.244, 0.244, 0.000], [0.756, 0.756, 0.000], [0.500, 0.000, 0.500], [0.000, 0.500, 0.500]], "vol_a3_per_cell": 56.1, "crystal_system": "orthorhombic"}

Entry B
{"formula": "Li2OsPt", "functional": "PBE", "state": "optimized geometry", "cell": [[3.675, 0.000, 0.000], [0.000, 3.675, 0.000], [0.000, 0.000, 4.213]], "species": ["Li", "Li", "Os", "Pt"], "fractional_positions": [[0.000, 0.500, 0.000], [0.500, 0.000, 0.000], [0.000, 0.000, 0.500], [0.500, 0.500, 0.500]], "vol_a3_per_cell": 56.9, "crystal_system": "tetragonal"}

Entry C
{"formula": "Li2OsPt", "functional": "PBE", "state": "optimized geometry", "cell": [[4.381, 0.000, 0.000], [0.000, 4.381, 0.000], [0.000, 0.000, 2.653]], "species": ["Li", "Li", "Os", "Pt"], "fractional_positions": [[0.000, 0.500, 0.000], [0.500, 0.000, 0.000], [0.000, 0.000, 0.500], [0.500, 0.500, 0.500]], "vol_a3_per_cell": 50.9, "crystal_system": "tetragonal"}

Here is how they stack up, most stable first: entry A, entry B, entry C.

Entry A
{"formula": "Li2OsPt2", "functional": "PBE", "state": "optimized geometry", "cell": [[7.095, 0.000, 0.000], [0.000, 7.095, 0.000], [0.000, 0.000, 2.713]], "species": ["Li", "Li", "Li", "Li", "Os", "Os", "Pt", "Pt", "Pt", "Pt"], "fractional_positions": [[0.156, 0.344, 0.000], [0.344, 0.844, 0.000], [0.656, 0.156, 0.000], [0.844, 0.656, 0.000], [0.000, 0.000, 0.500], [0.500, 0.500, 0.500], [0.144, 0.644, 0.500], [0.356, 0.144, 0.500], [0.644, 0.856, 0.500], [0.856, 0.356, 0.500]], "vol_a3_per_cell": 136.6, "crystal_system": "tetragonal"}

Entry B
{"formula": "Li2OsPt2", "functional": "PBE", "state": "optimized geometry", "cell": [[6.938, 0.000, 0.000], [0.000, 6.938, 0.000], [0.000, 0.000, 2.703]], "species": ["Li", "Li", "Li", "Li", "Os", "Os", "Pt", "Pt", "Pt", "Pt"], "fractional_positions": [[0.107, 0.393, 0.000], [0.393, 0.893, 0.000], [0.607, 0.107, 0.000], [0.893, 0.607, 0.000], [0.000, 0.000, 0.000], [0.500, 0.500, 0.000], [0.194, 0.694, 0.500], [0.306, 0.194, 0.500], [0.694, 0.806, 0.500], [0.806, 0.306, 0.500]], "vol_a3_per_cell": 130.1, "crystal_system": "tetragonal"}

Here is how they stack up, most stable first: entry B, entry A.

Entry A
{"formula": "Rb2LiTcOs", "functional": "PBE", "state": "optimized geometry", "cell": [[6.653, 0.000, 0.000], [0.000, 6.653, 0.000], [0.000, 0.000, 4.600]], "species": ["Rb", "Rb", "Li", "Tc", "Os"], "fractional_positions": [[0.000, 0.500, 0.000], [0.500, 0.000, 0.000], [0.000, 0.000, 0.500], [0.500, 0.500, 0.000], [0.500, 0.500, 0.500]], "vol_a3_per_cell": 203.6, "crystal_system": "tetragonal"}

Entry B
{"formula": "Rb2LiTcOs", "functional": "PBE", "state": "optimized geometry", "cell": [[6.455, 0.000, 0.000], [0.000, 6.455, 0.000], [0.000, 0.000, 4.906]], "species": ["Rb", "Rb", "Li", "Tc", "Os"], "fractional_positions": [[0.000, 0.500, 0.000], [0.500, 0.000, 0.000], [0.000, 0.000, 0.500], [0.500, 0.500, 0.500], [0.000, 0.000, 0.000]], "vol_a3_per_cell": 204.4, "crystal_system": "tetragonal"}

Here is how they stack up, most stable first: entry A, entry B.

Entry A
{"formula": "LiReOs2", "functional": "PBE", "state": "optimized geometry", "cell": [[2.981, 0.000, 0.000], [0.000, 2.981, 0.000], [0.000, 0.000, 5.996]], "species": ["Li", "Re", "Os", "Os"], "fractional_positions": [[0.000, 0.000, 0.000], [0.000, 0.000, 0.500], [0.500, 0.500, 0.227], [0.500, 0.500, 0.773]], "vol_a3_per_cell": 53.3, "crystal_system": "tetragonal"}

Entry B
{"formula": "LiReOs2", "functional": "PBE", "state": "optimized geometry", "cell": [[2.675, 0.000, 0.000], [0.000, 4.018, 0.000], [-1.276, 0.000, 5.083]], "species": ["Li", "Re", "Os", "Os"], "fractional_positions": [[0.000, 0.000, 0.000], [0.000, 0.000, 0.500], [0.408, 0.500, 0.234], [0.592, 0.500, 0.766]], "vol_a3_per_cell": 54.6, "crystal_system": "monoclinic"}

Entry C
{"formula": "LiReOs2", "functional": "PBE", "state": "optimized geometry", "cell": [[4.314, 0.000, 0.000], [0.000, 4.314, 0.000], [0.000, 0.000, 2.981]], "species": ["Li", "Re", "Os", "Os"], "fractional_positions": [[0.000, 0.000, 0.000], [0.500, 0.500, 0.000], [0.000, 0.500, 0.500], [0.500, 0.000, 0.500]], "vol_a3_per_cell": 55.5, "crystal_system": "tetragonal"}

Entry D
{"formula": "LiReOs2", "functional": "PBE", "state": "optimized geometry", "cell": [[-1.498, 2.137, 4.263], [1.498, -2.137, 4.263], [1.498, 2.137, -4.263]], "species": ["Li", "Re", "Os", "Os"], "fractional_positions": [[0.000, 0.000, 0.000], [0.752, 0.252, 0.500], [0.243, 0.743, 0.500], [0.500, 0.500, 0.000]], "vol_a3_per_cell": 54.6, "crystal_system": "orthorhombic"}

Here is how they stack up, most stable first: entry A, entry B, entry D, entry C.